Below is a crystal of Ag5BiO4 relaxed with PBEsol, with properties calculated at the meta-GGA SCAN level.

Computed properties:
The crystal system is monoclinic. The value obtained for the magnetization is 0.0 Bohr magnetons per cell. The value obtained for the uncorrected formation energy is -0.41 eV per atom.

abc: 5.8534 8.8507 13.4928
angles: 90.00 114.36 90.00
With the nearest neighbours (Å) after each atom.
Space group P2_1/c (No. 14)
Unique sites:
Ag 0.0000 0.0000 0.0000 (multiplicity 2)  2 O 2.13
Ag 0.1033 0.1434 0.6463 (multiplicity 4)  2 O 2.14-2.15
Ag 0.1179 0.2320 0.3726 (multiplicity 4)  2 O 2.06-2.07
Ag 0.2150 0.5095 0.7461 (multiplicity 4)  2 O 2.10-2.16
Ag 0.3674 0.7268 0.1203 (multiplicity 4)  2 O 2.07-2.08
Ag 0.5000 0.0000 0.5000 (multiplicity 2)  2 O 2.08
Bi 0.4232 0.6175 0.3751 (multiplicity 4)  5 O 2.20-2.38
O 0.0517 0.6322 0.3786 (multiplicity 4)  3 Ag 2.13-2.16, 1 Bi 2.20
O 0.1888 0.5889 0.1907 (multiplicity 4)  3 Ag 2.07-2.14, 1 Bi 2.31
O 0.4327 0.1343 0.9387 (multiplicity 4)  2 Ag 2.06-2.07, 1 Bi 2.30
O 0.4826 0.6362 0.8716 (multiplicity 4)  2 Ag 2.08-2.10, 1 Bi 2.21

Below is a crystal of ZnAgBiO5 relaxed with PBEsol, with properties calculated at the meta-GGA SCAN level.

Computed properties:
The crystal system is monoclinic. The value obtained for the magnetization is 0.0 Bohr magnetons per cell. The value obtained for the uncorrected formation energy is -0.62 eV per atom.

abc: 5.3264 10.4707 8.9051
angles: 90.00 115.56 90.00
With the nearest neighbours (Å) after each atom.
Space group P2_1/c (No. 14)
Unique sites:
Zn 0.0842 0.0736 0.1738 (multiplicity 4)  4 O 1.92-2.15
Ag 0.2179 0.6161 0.0193 (multiplicity 4)  4 O 2.02-2.08
Bi 0.4820 0.1160 0.8588 (multiplicity 4)  6 O 2.05-2.24
O 0.1262 0.0265 0.6508 (multiplicity 4)  2 Ag 2.03-2.08, 1 Bi 2.21
O 0.1918 0.7060 0.4238 (multiplicity 4)  1 Zn 1.93, 1 Ag 2.03
O 0.2508 0.0450 0.9899 (multiplicity 4)  2 Zn 2.15-2.19, 2 Bi 2.16-2.24
O 0.3132 0.5709 0.7832 (multiplicity 4)  1 Zn 1.92, 1 Bi 2.05
O 0.4139 0.1853 0.3132 (multiplicity 4)  1 Ag 2.02, 1 Zn 2.03, 1 Bi 2.12

Below is a crystal of AgBi2P2 relaxed with PBEsol, with properties calculated at the meta-GGA SCAN level.

Computed properties:
The calculation puts the total energy at -41.52 eV per atom. The crystal system is tetragonal. The value obtained for the magnetization is 0.0 Bohr magnetons per cell.

abc: 3.3741 3.3741 19.1507
angles: 90.00 90.00 90.00
With the nearest neighbours (Å) after each atom.
Space group I4/mmm (No. 139)
Unique sites:
Ag 0.0000 0.0000 0.0000 (multiplicity 2)  8 Bi 3.09, 4 Ag 3.37
Bi 0.0000 0.0000 0.3973 (multiplicity 4)  4 Ag 3.09, 4 P 3.29, 4 Bi 3.37
P 0.0000 0.5000 0.2500 (multiplicity 4)  4 P 2.39